KBr3N: optimized geometry, PBEsol.

a = 6.265 Å, b = 6.265 Å, c = 6.265 Å
α = 90.00°, β = 90.00°, γ = 90.00°
Atoms (fractional coordinates):
K 0.000 0.000 0.000
Br 0.000 0.500 0.000
Br 0.000 0.000 0.500
Br 0.500 0.000 0.000
N 0.500 0.500 0.500

Results
- energy relative to the elements, uncorrected (eV/atom) = 0.931
- space group = No. 221
- N(E_F) (states/eV per cell) = 10.1
- energy (eV/atom) = -2.123
- V (Å³/atom) = 49.17